Computed, not measured: a relaxed structure of TlTc2Te at the PBE level of DFT.

Cell and atoms, written as POSCAR:
```
TlTc2Te
1.0
8.3145 0.0000 0.0000
0.0000 3.2042 0.0000
-1.2862 0.0000 5.7983
Tl Tc Te
2 4 2
direct
0.0000 0.0000 0.0000 Tl
0.5000 0.5000 0.0000 Tl
0.2485 0.0000 0.7064 Tc
0.2515 0.5000 0.2936 Tc
0.7485 0.5000 0.7064 Tc
0.7515 0.0000 0.2936 Tc
0.0000 0.5000 0.5000 Te
0.5000 0.0000 0.5000 Te
```

Properties
E above lowest polymorph: 247 meV per atom
SG: C2/m
Formation energy from raw total energies: 0.570 eV/atom

***

Computed, not measured: a relaxed structure of TmGa4OsRh2 at the PBE level of DFT.

Cell and atoms, written as POSCAR:
```
TmGa4OsRh2
1.0
2.1187 1.2232 8.4354
-2.1187 1.2232 8.4354
0.0000 -2.4464 8.4354
Tm Ga Os Rh
1 4 1 2
direct
0.0000 0.0000 0.0000 Tm
0.1317 0.1317 0.1317 Ga
0.3977 0.3977 0.3977 Ga
0.6023 0.6023 0.6023 Ga
0.8683 0.8683 0.8683 Ga
0.5000 0.5000 0.5000 Os
0.2412 0.2412 0.2412 Rh
0.7588 0.7588 0.7588 Rh
```

Properties
E_form: -4.006 eV per formula unit
SG: R-3m